(1)
La2Nd3Hg4 | GGA-PBE | optimized geometry

energy of formation from the pure elements	-0.34	eV/atom
relative energy among the computed polymorphs	52.9	meV/atom
ρ	8.95	g/cm³
symmetry	Cmce

abc: 7.209 8.562 9.787
angles: 90.00 111.61 90.00
Fractional coordinates of all 18 atoms:
La 0.905 0.417 0.810
La 0.595 0.917 0.190
La 0.095 0.583 0.190
La 0.405 0.083 0.810
Hg 0.314 0.250 0.128
Hg 0.686 0.750 0.872
Hg 0.169 0.973 0.337
Hg 0.331 0.473 0.663
Hg 0.669 0.527 0.337
Hg 0.831 0.027 0.663
Hg 0.186 0.750 0.872
Hg 0.814 0.250 0.128
Nd 0.000 0.000 0.000
Nd 0.489 0.250 0.479
Nd 0.500 0.500 0.000
Nd 0.511 0.750 0.521
Nd 0.989 0.250 0.479
Nd 0.011 0.750 0.521


(2)
LaNdHg | GGA-PBE | optimized geometry

energy of formation from the pure elements	-0.22	eV/atom
relative energy among the computed polymorphs	96.8	meV/atom
ρ	8.37	g/cm³
symmetry	Cm

abc: 5.241 5.241 8.423
angles: 89.72 111.22 115.23
Fractional coordinates of all 6 atoms:
La 0.937 0.548 0.485
La 0.547 0.426 0.972
Nd 0.673 0.020 0.693
Nd 0.060 0.143 0.203
Hg 0.464 0.823 0.287
Hg 0.138 0.749 0.887


(3)
La3Nd2Hg4 | GGA-PBE | optimized geometry

energy of formation from the pure elements	-0.41	eV/atom
relative energy among the computed polymorphs	0.0	meV/atom
ρ	9.31	g/cm³
symmetry	C2/m

abc: 5.436 5.430 10.522
angles: 90.07 90.00 59.96
Fractional coordinates of all 9 atoms:
La 0.667 0.666 0.580
La 0.000 0.000 0.000
La 0.333 0.334 0.420
Hg 0.667 0.666 0.894
Hg 0.000 0.001 0.342
Hg 0.000 0.999 0.658
Hg 0.333 0.334 0.106
Nd 0.334 0.333 0.791
Nd 0.666 0.667 0.209


(4)
LaNdHg | GGA-PBE | optimized geometry

energy of formation from the pure elements	-0.31	eV/atom
relative energy among the computed polymorphs	2.3	meV/atom
ρ	8.44	g/cm³
symmetry	I4mm

abc: 3.844 3.844 6.988
angles: 105.97 105.97 90.00
Fractional coordinates of all 3 atoms:
La 0.604 0.604 0.208
Hg 0.945 0.945 0.891
Nd 0.301 0.301 0.601


(5)
La4NdHg | GGA-PBE | optimized geometry

energy of formation from the pure elements	0.21	eV/atom
relative energy among the computed polymorphs	377.0	meV/atom
ρ	6.46	g/cm³
symmetry	P4/mmm

abc: 5.445 5.448 7.799
angles: 89.98 89.98 90.00
Fractional coordinates of all 6 atoms:
La 0.501 0.997 0.259
La 0.501 0.998 0.737
La 0.001 0.497 0.259
La 0.001 0.497 0.737
Hg 0.001 0.997 0.498
Nd 0.501 0.497 0.998


(6)
La14NdHg | GGA-PBE | optimized geometry

energy of formation from the pure elements	-0.05	eV/atom
ρ	6.80	g/cm³
symmetry	Amm2

abc: 7.320 7.320 10.432
angles: 90.00 90.00 90.02
Fractional coordinates of all 16 atoms:
La 0.882 0.634 0.500
La 0.366 0.118 0.500
La 0.133 0.867 0.231
La 0.882 0.118 0.500
La 0.855 0.615 0.000
La 0.372 0.628 0.500
La 0.621 0.379 0.743
La 0.619 0.869 0.244
La 0.133 0.867 0.769
La 0.621 0.379 0.257
La 0.385 0.145 0.000
La 0.131 0.381 0.244
La 0.619 0.869 0.756
La 0.131 0.381 0.756
Nd 0.873 0.127 0.000
Hg 0.376 0.624 0.000


(7)
La2Nd8Hg | GGA-PBE | optimized geometry

energy of formation from the pure elements	0.01	eV/atom
ρ	7.15	g/cm³
symmetry	C2/m

abc: 5.715 7.762 9.482
angles: 108.21 107.54 90.00
Fractional coordinates of all 11 atoms:
Nd 0.817 0.763 0.634
Nd 0.015 0.772 0.031
Nd 0.336 0.061 0.673
Nd 0.600 0.429 0.201
Nd 0.664 0.939 0.327
Nd 0.400 0.571 0.799
Nd 0.985 0.228 0.969
Nd 0.183 0.237 0.366
La 0.184 0.667 0.367
La 0.816 0.333 0.633
Hg 0.500 0.000 0.000


(8)
La2Nd3Hg4 | GGA-PBE | optimized geometry

energy of formation from the pure elements	-0.39	eV/atom
relative energy among the computed polymorphs	0.0	meV/atom
ρ	9.34	g/cm³
symmetry	P-3m1

abc: 5.417 5.414 10.597
angles: 90.02 90.00 59.99
Fractional coordinates of all 9 atoms:
Nd 0.000 0.000 0.000
Nd 0.333 0.333 0.415
Nd 0.667 0.667 0.585
La 0.667 0.666 0.211
La 0.333 0.334 0.789
Hg 0.000 0.000 0.351
Hg 0.000 0.000 0.649
Hg 0.667 0.667 0.897
Hg 0.333 0.333 0.103


(9)
La9Nd4Hg11 | GGA-PBE | optimized geometry

energy of formation from the pure elements	-0.41	eV/atom
ρ	9.44	g/cm³
symmetry	Cmmm

abc: 3.720 14.320 14.320
angles: 111.49 90.00 90.00
Fractional coordinates of all 24 atoms:
Nd 0.500 0.747 0.562
Nd 0.500 0.438 0.253
Nd 0.500 0.253 0.438
Nd 0.500 0.562 0.747
Hg 0.000 0.170 0.830
Hg 0.000 0.830 0.170
Hg 0.000 0.054 0.413
Hg 0.000 0.587 0.946
Hg 0.000 0.253 0.253
Hg 0.000 0.000 0.000
Hg 0.000 0.747 0.747
Hg 0.000 0.634 0.366
Hg 0.000 0.366 0.634
Hg 0.000 0.946 0.587
Hg 0.000 0.413 0.054
La 0.500 0.149 0.624
La 0.500 0.036 0.207
La 0.500 0.376 0.851
La 0.500 0.500 0.500
La 0.500 0.964 0.793
La 0.500 0.851 0.376
La 0.500 0.207 0.036
La 0.500 0.793 0.964
La 0.500 0.624 0.149


(10)
LaNd2Hg | GGA-PBE | optimized geometry

energy of formation from the pure elements	-0.18	eV/atom
relative energy among the computed polymorphs	56.8	meV/atom
ρ	8.44	g/cm³
symmetry	P4/mmm

abc: 4.991 4.975 4.975
angles: 90.00 90.00 90.00
Fractional coordinates of all 4 atoms:
La 0.500 0.000 0.000
Nd 0.000 0.000 0.500
Nd 0.000 0.500 0.000
Hg 0.500 0.500 0.500


(11)
LaNd8Hg6 | GGA-PBE | optimized geometry

energy of formation from the pure elements	-0.25	eV/atom
ρ	8.59	g/cm³
symmetry	R-3

abc: 9.252 9.252 8.420
angles: 56.67 56.67 60.00
Fractional coordinates of all 15 atoms:
Nd 0.117 0.444 0.655
Nd 0.883 0.556 0.345
Nd 0.332 0.332 0.004
Nd 0.444 0.785 0.655
Nd 0.785 0.117 0.655
Nd 0.215 0.883 0.345
Nd 0.668 0.668 0.996
Nd 0.556 0.215 0.345
Hg 0.607 0.945 0.163
Hg 0.945 0.284 0.163
Hg 0.716 0.393 0.837
Hg 0.055 0.716 0.837
Hg 0.393 0.055 0.837
Hg 0.284 0.607 0.163
La 0.000 0.000 0.000


(12)
La3NdHg2 | GGA-PBE | optimized geometry

energy of formation from the pure elements	-0.32	eV/atom
relative energy among the computed polymorphs	20.3	meV/atom
ρ	8.29	g/cm³
symmetry	P4/mmm

abc: 3.847 3.847 13.020
angles: 90.00 90.00 90.00
Fractional coordinates of all 6 atoms:
La 0.000 0.000 0.000
La 0.000 0.000 0.306
La 0.000 0.000 0.694
Hg 0.500 0.500 0.157
Hg 0.500 0.500 0.843
Nd 0.500 0.500 0.500


(13)
La2NdHgO | GGA-PBE | optimized geometry

ρ	8.30	g/cm³
uncorrected formation energy	-1.35	eV/atom
symmetry	P4/mmm

abc: 5.004 5.051 5.051
angles: 90.00 90.00 90.00
Fractional coordinates of all 5 atoms:
Nd 0.500 0.000 0.000
La 0.000 0.000 0.500
La 0.000 0.500 0.000
O 0.000 0.000 0.000
Hg 0.500 0.500 0.500


(14)
LaNd2HgO | GGA-PBE | optimized geometry

ρ	8.55	g/cm³
uncorrected formation energy	-1.34	eV/atom
symmetry	P4/mmm

abc: 5.024 4.991 4.991
angles: 90.00 90.00 90.00
Fractional coordinates of all 5 atoms:
Nd 0.000 0.500 0.000
Nd 0.000 0.000 0.500
O 0.000 0.000 0.000
Hg 0.500 0.500 0.500
La 0.500 0.000 0.000


(15)
LaNd2Hg2Pb2 | GGA-PBE | optimized geometry

energy of formation from the pure elements	-0.31	eV/atom
ρ	9.66	g/cm³
symmetry	R-3m

abc: 5.141 5.141 9.796
angles: 74.79 74.79 60.00
Fractional coordinates of all 7 atoms:
Nd 0.869 0.869 0.394
Nd 0.131 0.131 0.606
Hg 0.433 0.433 0.702
Hg 0.567 0.567 0.298
Pb 0.271 0.271 0.186
Pb 0.729 0.729 0.814
La 0.000 0.000 0.000


(16)
La2NdHg2Pb2 | GGA-PBE | optimized geometry

energy of formation from the pure elements	-0.31	eV/atom
ρ	9.62	g/cm³
symmetry	R-3m

abc: 5.127 5.127 9.840
angles: 74.90 74.90 60.00
Fractional coordinates of all 7 atoms:
Hg 0.430 0.430 0.711
Hg 0.570 0.570 0.289
Nd 0.000 0.000 0.000
Pb 0.725 0.725 0.824
Pb 0.275 0.275 0.176
La 0.132 0.132 0.603
La 0.868 0.868 0.397


(17)
LaNdHgPd | GGA-PBE | optimized geometry

energy of formation from the pure elements	-0.57	eV/atom
ρ	9.16	g/cm³
symmetry	F-43m

abc: 5.328 5.328 5.328
angles: 60.00 60.00 60.00
Fractional coordinates of all 4 atoms:
Pd 0.500 0.500 0.500
La 0.250 0.250 0.250
Nd 0.750 0.750 0.750
Hg 0.000 0.000 0.000


(18)
LaPmNdHg | GGA-PBE | optimized geometry

energy of formation from the pure elements	-0.08	eV/atom
relative energy among the computed polymorphs	157.9	meV/atom
ρ	8.41	g/cm³
symmetry	F-43m

abc: 5.599 5.599 5.599
angles: 60.00 60.00 60.00
Fractional coordinates of all 4 atoms:
Pm 0.000 0.000 0.000
Hg 0.500 0.500 0.500
Nd 0.750 0.750 0.750
La 0.250 0.250 0.250


(19)
La2PmNdHg2 | GGA-PBE | optimized geometry

energy of formation from the pure elements	-0.34	eV/atom
ρ	8.54	g/cm³
symmetry	Pmc2_1

abc: 5.305 7.253 9.784
angles: 90.00 90.00 90.00
Fractional coordinates of all 12 atoms:
Hg 0.500 0.744 0.643
Hg 0.500 0.244 0.357
Hg 0.000 0.273 0.844
Hg 0.000 0.773 0.156
Nd 0.000 0.995 0.444
Nd 0.000 0.495 0.556
La 0.500 0.020 0.057
La 0.000 0.332 0.172
La 0.500 0.520 0.943
La 0.000 0.832 0.828
Pm 0.500 0.181 0.672
Pm 0.500 0.681 0.328


(20)
LaPmNdHg | GGA-PBE | optimized geometry

energy of formation from the pure elements	-0.24	eV/atom
relative energy among the computed polymorphs	0.0	meV/atom
ρ	8.25	g/cm³
symmetry	P4mm

abc: 3.787 3.787 8.823
angles: 90.00 90.00 90.00
Fractional coordinates of all 4 atoms:
Hg 0.000 0.000 0.568
Nd 0.500 0.500 0.790
Pm 0.500 0.500 0.354
La 0.000 0.000 0.073